DFT (PBE) results for a relaxed Sr2AgBi2 crystal.

a b c (Å): 6.7455 6.7455 11.9135
angles (deg): 113.14 113.14 42.65
Fractional positions:
1 Sr 0.0182 0.0182 0.3462
2 Sr 0.1750 0.1750 0.1062
3 Sr 0.8250 0.8250 0.8938
4 Sr 0.9818 0.9818 0.6538
5 Ag 0.3000 0.3000 0.6623
6 Ag 0.7000 0.7000 0.3377
7 Bi 0.3371 0.3371 0.4150
8 Bi 0.4613 0.4613 0.1187
9 Bi 0.5387 0.5387 0.8813
10 Bi 0.6629 0.6629 0.5850

* formation energy: -62.0 kJ/mol of atoms
* DOS at the Fermi energy: 1.78 states/eV/cell

---

DFT (PBE) results for a relaxed SrAgBi crystal.

a b c (Å): 4.8916 4.8916 7.8322
angles (deg): 90.00 90.00 90.00
Fractional positions:
1 Sr 0.2500 0.7500 0.0000
2 Sr 0.7500 0.2500 0.0000
3 Ag 0.2500 0.2500 0.3076
4 Ag 0.7500 0.7500 0.6924
5 Bi 0.2500 0.2500 0.6845
6 Bi 0.7500 0.7500 0.3155

* formation energy: -10.3 kJ/mol of atoms
* DOS at the Fermi energy: 3.20 states/eV/cell

---

DFT (PBE) results for a relaxed SrAgBi crystal.

a b c (Å): 5.6016 5.6016 6.6817
angles (deg): 90.00 90.00 120.00
Fractional positions:
1 Sr 0.3333 0.6667 0.2500
2 Sr 0.6667 0.3333 0.7500
3 Ag 0.0000 0.0000 0.0000
4 Ag 0.0000 0.0000 0.5000
5 Bi 0.3333 0.6667 0.7500
6 Bi 0.6667 0.3333 0.2500

* formation energy: -32.7 kJ/mol of atoms
* DOS at the Fermi energy: 0.20 states/eV/cell

---

DFT (PBE) results for a relaxed Sr2AgBi2 crystal.

a b c (Å): 9.7697 9.7697 3.7187
angles (deg): 90.00 90.00 90.00
Fractional positions:
1 Sr 0.1367 0.3633 0.0000
2 Sr 0.3633 0.8633 0.0000
3 Sr 0.6367 0.1367 0.0000
4 Sr 0.8633 0.6367 0.0000
5 Ag 0.0000 0.0000 0.0000
6 Ag 0.5000 0.5000 0.0000
7 Bi 0.1656 0.6656 0.5000
8 Bi 0.3344 0.1656 0.5000
9 Bi 0.6656 0.8344 0.5000
10 Bi 0.8344 0.3344 0.5000

* formation energy: -28.9 kJ/mol of atoms
* DOS at the Fermi energy: 1.98 states/eV/cell